A geometry-optimized Ac3SnIr structure. Source: OQMD via LeMat-Bulk, functional PBE-GGA.

abc: 9.1997 4.7405 16.0798
angles: 90.00 90.00 90.00
With the nearest neighbours (Å) after each atom.
Fractional coordinates of all 20 atoms:
Ac1 0.6578 0.7500 0.0065  2 Ir 3.06
Ac2 0.9758 0.2500 0.1089  3 Ir 2.98-3.05
Ac3 0.3095 0.7500 0.2127  1 Ir 2.82
Ac4 0.8095 0.7500 0.2873  1 Ir 2.82
Ac5 0.4758 0.2500 0.3911  3 Ir 2.98-3.05
Ac6 0.1578 0.7500 0.4935  2 Ir 3.06
Ac7 0.8422 0.2500 0.5065  2 Ir 3.06
Ac8 0.5242 0.7500 0.6089  3 Ir 2.98-3.05
Ac9 0.1905 0.2500 0.7127  1 Ir 2.82
Ac10 0.6905 0.2500 0.7873  1 Ir 2.82
Ac11 0.0242 0.7500 0.8911  3 Ir 2.98-3.05
Ac12 0.3422 0.2500 0.9935  2 Ir 3.06
Ir1 0.1645 0.7500 0.0580  6 Ac 2.82-3.06
Ir2 0.6645 0.7500 0.4420  6 Ac 2.82-3.06
Ir3 0.3355 0.2500 0.5580  6 Ac 2.82-3.06
Ir4 0.8355 0.2500 0.9420  6 Ac 2.82-3.06
Sn1 0.5866 0.2500 0.1731  9 Ac 3.54-3.73
Sn2 0.0866 0.2500 0.3269  9 Ac 3.54-3.73
Sn3 0.9134 0.7500 0.6731  9 Ac 3.54-3.73
Sn4 0.4134 0.7500 0.8269  9 Ac 3.54-3.73

Properties
E_tot ... -5.696 eV per atom
Total magnetic moment ... 0.0 μB per cell
Space-group type ... Pnma, No. 62